Entry 1:
VASP calculation (GGA-PBE) on a relaxed K2NdI5 crystal.

a b c (Å): 14.6605 9.8938 9.3031
angles (deg): 90.00 90.00 90.00
With the nearest neighbours (Å) after each atom.
Sites, in units of the cell vectors:
K1 0.1728 0.0036 0.0630  8 I 3.65-3.98
K2 0.1728 0.4964 0.0630  8 I 3.65-3.98
K3 0.3272 0.5036 0.5630  8 I 3.65-3.98
K4 0.3272 0.9964 0.5630  8 I 3.65-3.98
K5 0.6728 0.0036 0.4370  8 I 3.65-3.98
K6 0.6728 0.4964 0.4370  8 I 3.65-3.98
K7 0.8272 0.5036 0.9370  8 I 3.65-3.98
K8 0.8272 0.9964 0.9370  8 I 3.65-3.98
Nd1 0.0059 0.2500 0.5804  7 I 3.18-3.28
Nd2 0.4941 0.7500 0.0804  7 I 3.18-3.28
Nd3 0.5059 0.2500 0.9196  7 I 3.18-3.28
Nd4 0.9941 0.7500 0.4196  7 I 3.18-3.28
I1 0.0083 0.2500 0.9282  1 Nd 3.24
I2 0.0736 0.5464 0.6688  2 Nd 3.20-3.28
I3 0.0736 0.9536 0.6688  2 Nd 3.20-3.28
I4 0.1828 0.2500 0.3798  1 Nd 3.20
I5 0.2053 0.7500 0.3435  1 Nd 3.18
I6 0.2947 0.2500 0.8435  1 Nd 3.18
I7 0.3172 0.7500 0.8798  1 Nd 3.20
I8 0.4264 0.0464 0.1688  2 Nd 3.20-3.28
I9 0.4264 0.4536 0.1688  2 Nd 3.20-3.28
I10 0.4917 0.7500 0.4282  1 Nd 3.24
I11 0.5083 0.2500 0.5718  1 Nd 3.24
I12 0.5736 0.5464 0.8312  2 Nd 3.20-3.28
I13 0.5736 0.9536 0.8312  2 Nd 3.20-3.28
I14 0.6828 0.2500 0.1202  1 Nd 3.20
I15 0.7053 0.7500 0.1565  1 Nd 3.18
I16 0.7947 0.2500 0.6565  1 Nd 3.18
I17 0.8172 0.7500 0.6202  1 Nd 3.20
I18 0.9264 0.0464 0.3312  2 Nd 3.20-3.28
I19 0.9264 0.4536 0.3312  2 Nd 3.20-3.28
I20 0.9917 0.7500 0.0718  1 Nd 3.24

Output
DOS at the Fermi energy (states/eV/atom): 0.000
Excess energy over the best structure of this formula in the dataset (eV/atom): 0.000
Volume (A^3/atom): 42.17
Total DFT energy (no corrections) (eV/atom): -3.30



Entry 2:
VASP calculation (GGA-PBE) on a relaxed TbScO3 crystal.

a b c (Å): 6.0318 6.0318 6.8064
angles (deg): 90.00 90.00 147.47
With the nearest neighbours (Å) after each atom.
Sites, in units of the cell vectors:
Tb1 0.2403 0.7597 0.7500  8 O 2.35-2.57
Tb2 0.7597 0.2403 0.2500  8 O 2.35-2.57
Sc1 0.0217 0.9783 0.2500  4 O 2.00-2.02
Sc2 0.9783 0.0217 0.7500  4 O 2.00-2.02
O1 0.1554 0.8446 0.0634  1 Sc 2.00
O2 0.1554 0.8446 0.4366  1 Sc 2.00
O3 0.4264 0.5736 0.2500  2 Sc 2.02
O4 0.5736 0.4264 0.7500  2 Sc 2.02
O5 0.8446 0.1554 0.5634  1 Sc 2.00
O6 0.8446 0.1554 0.9366  1 Sc 2.00

Output
DOS at the Fermi energy (states/eV/atom): 0.000
Volume (A^3/atom): 13.32
Total DFT energy (no corrections) (eV/atom): -8.39



Entry 3:
VASP calculation (GGA-PBE) on a relaxed Pr3Al2Au4 crystal.

a b c (Å): 6.0623 6.0623 8.8498
angles (deg): 111.61 111.61 44.97
With the nearest neighbours (Å) after each atom.
Sites, in units of the cell vectors:
Pr1 0.0000 0.0000 0.0000  8 Au 3.22-3.50
Pr2 0.3632 0.3632 0.3098  8 Au 3.12-3.49, 4 Al 3.26-3.30
Pr3 0.6368 0.6368 0.6902  8 Au 3.12-3.49, 4 Al 3.26-3.30
Al1 0.3385 0.3385 0.6662  4 Au 2.61-2.80
Al2 0.6615 0.6615 0.3338  4 Au 2.61-2.80
Au1 0.0915 0.0915 0.4087  3 Al 2.62-2.80
Au2 0.2848 0.2848 0.9274  1 Al 2.61, 2 Au 2.90
Au3 0.7152 0.7152 0.0726  1 Al 2.61, 2 Au 2.90
Au4 0.9085 0.9085 0.5913  3 Al 2.62-2.80

Output
DOS at the Fermi energy (states/eV/atom): 0.725
Volume (A^3/atom): 23.42
Total DFT energy (no corrections) (eV/atom): -4.64



Entry 4:
VASP calculation (GGA-PBE) on a relaxed RbBaCo2 crystal.

a b c (Å): 5.5619 5.5619 5.5619
angles (deg): 60.00 60.00 60.00
With the nearest neighbours (Å) after each atom.
Sites, in units of the cell vectors:
Rb1 0.0000 0.0000 0.0000  8 Co 3.41
Ba1 0.5000 0.5000 0.5000  8 Co 3.41
Co1 0.2500 0.2500 0.2500  4 Ba 3.41, 4 Rb 3.41
Co2 0.7500 0.7500 0.7500  4 Ba 3.41, 4 Rb 3.41

Output
DOS at the Fermi energy (states/eV/atom): 3.285
Excess energy over the best structure of this formula in the dataset (eV/atom): 0.000
Volume (A^3/atom): 30.42
Total DFT energy (no corrections) (eV/atom): -3.10



Entry 5:
VASP calculation (GGA-PBE) on a relaxed La2In5I12 crystal.

a b c (Å): 10.0431 10.0431 11.2104
angles (deg): 103.86 103.86 55.92
With the nearest neighbours (Å) after each atom.
Sites, in units of the cell vectors:
La1 0.2501 0.7499 0.0000  6 I 3.11-3.24
La2 0.7499 0.2501 0.0000  6 I 3.11-3.24
In1 0.0000 0.0000 0.5000  4 I 3.12
In2 0.2885 0.2885 0.6262  6 I 3.44-3.56
In3 0.3052 0.3052 0.2760  5 I 3.36-3.54
In4 0.6948 0.6948 0.7240  5 I 3.36-3.54
In5 0.7115 0.7115 0.3738  6 I 3.44-3.56
I1 0.0325 0.0325 0.8244  2 La 3.22, 1 In 3.52
I2 0.0877 0.5553 0.8705  1 La 3.11, 2 In 3.44-3.47
I3 0.1058 0.6381 0.4764  2 In 3.12-3.36
I4 0.3619 0.8942 0.5236  2 In 3.12-3.36
I5 0.4447 0.9123 0.1295  1 La 3.11, 2 In 3.44-3.47
I6 0.4826 0.4826 0.1893  2 La 3.24, 1 In 3.54
I7 0.5174 0.5174 0.8107  2 La 3.24, 1 In 3.54
I8 0.5553 0.0877 0.8705  1 La 3.11, 2 In 3.44-3.47
I9 0.6381 0.1058 0.4764  2 In 3.12-3.36
I10 0.8942 0.3619 0.5236  2 In 3.12-3.36
I11 0.9123 0.4447 0.1295  1 La 3.11, 2 In 3.44-3.47
I12 0.9675 0.9675 0.1756  2 La 3.22, 1 In 3.52

Output
DOS at the Fermi energy (states/eV/atom): 0.240
Volume (A^3/atom): 47.44
Total DFT energy (no corrections) (eV/atom): -3.07



Entry 6:
VASP calculation (GGA-PBE) on a relaxed Ac2Nd7Y3 crystal.

a b c (Å): 6.5547 3.6649 18.1924
angles (deg): 90.00 96.06 90.00
With the nearest neighbours (Å) after each atom.
Sites, in units of the cell vectors:
Ac1 0.0595 0.0000 0.1721  5 Nd 3.55-3.71, 2 Ac 3.66, 4 Y 3.72-3.80
Ac2 0.9405 0.0000 0.8279  5 Nd 3.55-3.71, 2 Ac 3.66, 4 Y 3.72-3.80
Nd1 0.0000 0.5000 0.5000  8 Nd 3.60-3.70, 4 Y 3.75
Nd2 0.2304 0.0000 0.6652  3 Y 3.64-3.82, 8 Nd 3.66-3.80, 1 Ac 3.68
Nd3 0.2617 0.0000 0.9975  2 Nd 3.12-3.44
Nd4 0.2792 0.5000 0.3396  7 Nd 3.60-3.80, 3 Y 3.62-3.87, 2 Ac 3.71
Nd5 0.7208 0.5000 0.6604  7 Nd 3.60-3.80, 3 Y 3.62-3.87, 2 Ac 3.71
Nd6 0.7383 0.0000 0.0025  2 Nd 3.12-3.44
Nd7 0.7696 0.0000 0.3348  3 Y 3.64-3.82, 8 Nd 3.66-3.80, 1 Ac 3.68
Y1 0.4509 0.5000 0.8397  2 Y 3.66, 4 Ac 3.72-3.80, 7 Nd 3.73-3.87
Y2 0.5000 0.0000 0.5000  10 Nd 3.62-3.75, 2 Y 3.66
Y3 0.5491 0.5000 0.1603  2 Y 3.66, 4 Ac 3.72-3.80, 7 Nd 3.73-3.87

Output
DOS at the Fermi energy (states/eV/atom): 1.554
Volume (A^3/atom): 36.22
Total DFT energy (no corrections) (eV/atom): -5.00



Copy entry 6 word for word.
VASP calculation (GGA-PBE) on a relaxed Ac2Nd7Y3 crystal.

a b c (Å): 6.5547 3.6649 18.1924
angles (deg): 90.00 96.06 90.00
With the nearest neighbours (Å) after each atom.
Sites, in units of the cell vectors:
Ac1 0.0595 0.0000 0.1721  5 Nd 3.55-3.71, 2 Ac 3.66, 4 Y 3.72-3.80
Ac2 0.9405 0.0000 0.8279  5 Nd 3.55-3.71, 2 Ac 3.66, 4 Y 3.72-3.80
Nd1 0.0000 0.5000 0.5000  8 Nd 3.60-3.70, 4 Y 3.75
Nd2 0.2304 0.0000 0.6652  3 Y 3.64-3.82, 8 Nd 3.66-3.80, 1 Ac 3.68
Nd3 0.2617 0.0000 0.9975  2 Nd 3.12-3.44
Nd4 0.2792 0.5000 0.3396  7 Nd 3.60-3.80, 3 Y 3.62-3.87, 2 Ac 3.71
Nd5 0.7208 0.5000 0.6604  7 Nd 3.60-3.80, 3 Y 3.62-3.87, 2 Ac 3.71
Nd6 0.7383 0.0000 0.0025  2 Nd 3.12-3.44
Nd7 0.7696 0.0000 0.3348  3 Y 3.64-3.82, 8 Nd 3.66-3.80, 1 Ac 3.68
Y1 0.4509 0.5000 0.8397  2 Y 3.66, 4 Ac 3.72-3.80, 7 Nd 3.73-3.87
Y2 0.5000 0.0000 0.5000  10 Nd 3.62-3.75, 2 Y 3.66
Y3 0.5491 0.5000 0.1603  2 Y 3.66, 4 Ac 3.72-3.80, 7 Nd 3.73-3.87

Output
DOS at the Fermi energy (states/eV/atom): 1.554
Volume (A^3/atom): 36.22
Total DFT energy (no corrections) (eV/atom): -5.00